This record from Alexandria describes crystalline LiMg14Mn at its relaxed geometry. The functional is GGA-PBE.

Results
total magnetization	0.2453	μB/atom
space-group type	Amm2 (38)
crystal system	orthorhombic
ΔE to the lowest computed polymorph	6.8	meV per atom
mass density	1.9	g cm⁻³
energy	-2.048	eV per atom
formation enthalpy at 0 K	0.04	eV/atom

Unit cell a=10.2331 b=6.2810 c=6.2810 alpha=60.34 beta=90.00 gamma=90.00
Fractional coordinates of all 16 atoms:
Li (0.0000, 0.0000, 0.0000)
Mg (0.0000, 0.0017, 0.5022)
Mg (0.0000, 0.5022, 0.0017)
Mg (0.2375, 0.3320, 0.8271)
Mg (0.2375, 0.8271, 0.3320)
Mg (0.2428, 0.3350, 0.3350)
Mg (0.2477, 0.8329, 0.8329)
Mg (0.5000, 0.9998, 0.4983)
Mg (0.5000, 0.0006, 0.0006)
Mg (0.5000, 0.4983, 0.9998)
Mg (0.5000, 0.5004, 0.5004)
Mg (0.7523, 0.8329, 0.8329)
Mg (0.7572, 0.3350, 0.3350)
Mg (0.7625, 0.3320, 0.8271)
Mg (0.7625, 0.8271, 0.3320)
Mn (0.0000, 0.5001, 0.5001)

***

This record from Alexandria describes crystalline Li2MgMn at its relaxed geometry. The functional is GGA-PBE.

Results
total magnetization	0.9813	μB/atom
space-group type	Cm (8)
crystal system	monoclinic
mass density	2.1	g cm⁻³
energy	-3.415	eV per atom
formation enthalpy at 0 K	0.23	eV/atom

Unit cell a=5.0750 b=5.0750 c=5.2095 alpha=98.88 beta=98.88 gamma=33.15
Fractional coordinates of all 4 atoms:
Li (0.0000, 0.0000, 0.0000)
Li (0.2477, 0.2477, 0.7588)
Mg (0.4922, 0.4922, 0.4886)
Mn (0.7450, 0.7450, 0.2528)

***

This record from Alexandria describes crystalline LiMg2Mn2 at its relaxed geometry. The functional is GGA-PBE.

Results
total magnetization	1.5180	μB/atom
space-group type	I4/mmm (139)
crystal system	tetragonal
ΔE to the lowest computed polymorph	260.7	meV per atom
mass density	2.6	g cm⁻³
energy	-4.034	eV per atom
formation enthalpy at 0 K	0.65	eV/atom

Unit cell a=7.0868 b=7.0868 c=7.0868 alpha=146.92 beta=146.92 gamma=47.48
Fractional coordinates of all 5 atoms:
Li (0.0000, 0.0000, 0.0000)
Mg (0.2500, 0.7500, 0.5000)
Mg (0.7500, 0.2500, 0.5000)
Mn (0.4054, 0.4054, 0.0000)
Mn (0.5946, 0.5946, 0.0000)

***

Which formula does entry 1 have?
LiMg14Mn

***

total magnetization of number 1 (LiMg14Mn)?
0.2453 μB/atom